Entry 1:
Here is a crystal of TbPt relaxed with PBEsol from Alexandria. Energies are from SCAN.

Cell: 3.4538 3.4538 3.4538 Å, 90.00 90.00 90.00°
Last column: nearest neighbours and their distance in Å.
Element x y z (fractional)
Tb1 0.0000 0.0000 0.0000  8 Pt 2.99
Pt1 0.5000 0.5000 0.5000  8 Tb 2.99

---

Entry 2:
Here is a crystal of Tb3Pt4 relaxed with PBEsol from Alexandria. Energies are from SCAN.

Cell: 7.7776 7.7776 7.7776 Å, 114.31 114.31 114.31°
Last column: nearest neighbours and their distance in Å.
Element x y z (fractional)
Tb1 0.0271 0.4050 0.2804  8 Pt 2.83-3.11
Tb2 0.2804 0.0271 0.4050  8 Pt 2.83-3.11
Tb3 0.4050 0.2804 0.0271  8 Pt 2.83-3.11
Tb4 0.5950 0.7196 0.9729  8 Pt 2.83-3.11
Tb5 0.7196 0.9729 0.5950  8 Pt 2.83-3.11
Tb6 0.9729 0.5950 0.7196  8 Pt 2.83-3.11
Pt1 0.0000 0.0000 0.0000  2 Pt 2.83, 6 Tb 2.85
Pt2 0.0604 0.2253 0.5516  6 Tb 2.83-3.11, 3 Pt 2.86-2.94
Pt3 0.2253 0.5516 0.0604  6 Tb 2.83-3.11, 3 Pt 2.86-2.94
Pt4 0.4484 0.9396 0.7747  6 Tb 2.83-3.11, 3 Pt 2.86-2.94
Pt5 0.5000 0.5000 0.5000  2 Pt 2.83, 6 Tb 2.92
Pt6 0.5516 0.0604 0.2253  6 Tb 2.83-3.11, 3 Pt 2.86-2.94
Pt7 0.7747 0.4484 0.9396  6 Tb 2.83-3.11, 3 Pt 2.86-2.94
Pt8 0.9396 0.7747 0.4484  6 Tb 2.83-3.11, 3 Pt 2.86-2.94

---

Entry 3:
Here is a crystal of Tb5Pt4 relaxed with PBEsol from Alexandria. Energies are from SCAN.

Cell: 7.4118 14.4347 7.5251 Å, 90.00 90.00 90.00°
Last column: nearest neighbours and their distance in Å.
Element x y z (fractional)
Tb1 0.0023 0.0935 0.1796  7 Pt 2.93-3.26
Tb2 0.0023 0.4065 0.1796  7 Pt 2.93-3.26
Tb3 0.1579 0.1226 0.6672  6 Pt 2.80-2.98
Tb4 0.1579 0.3774 0.6672  6 Pt 2.80-2.98
Tb5 0.1795 0.7500 0.5122  5 Pt 2.78-3.03
Tb6 0.3205 0.2500 0.0122  5 Pt 2.78-3.03
Tb7 0.3421 0.6226 0.1672  6 Pt 2.80-2.98
Tb8 0.3421 0.8774 0.1672  6 Pt 2.80-2.98
Tb9 0.4977 0.5935 0.6796  7 Pt 2.93-3.26
Tb10 0.4977 0.9065 0.6796  7 Pt 2.93-3.26
Tb11 0.5023 0.0935 0.3204  7 Pt 2.93-3.26
Tb12 0.5023 0.4065 0.3204  7 Pt 2.93-3.26
Tb13 0.6579 0.1226 0.8328  6 Pt 2.80-2.98
Tb14 0.6579 0.3774 0.8328  6 Pt 2.80-2.98
Tb15 0.6795 0.7500 0.9878  5 Pt 2.78-3.03
Tb16 0.8205 0.2500 0.4878  5 Pt 2.78-3.03
Tb17 0.8421 0.6226 0.3328  6 Pt 2.80-2.98
Tb18 0.8421 0.8774 0.3328  6 Pt 2.80-2.98
Tb19 0.9977 0.5935 0.8204  7 Pt 2.93-3.26
Tb20 0.9977 0.9065 0.8204  7 Pt 2.93-3.26
Pt1 0.0457 0.7500 0.1114  1 Pt 2.75, 5 Tb 2.87-2.90
Pt2 0.1821 0.5413 0.4666  6 Tb 2.80-3.09, 1 Pt 2.99
Pt3 0.1821 0.9587 0.4666  6 Tb 2.80-3.09, 1 Pt 2.99
Pt4 0.1877 0.2500 0.3575  1 Pt 2.75, 6 Tb 2.78-2.98
Pt5 0.3123 0.7500 0.8575  1 Pt 2.75, 6 Tb 2.78-2.98
Pt6 0.3179 0.0413 0.9666  6 Tb 2.80-3.09, 1 Pt 2.99
Pt7 0.3179 0.4587 0.9666  6 Tb 2.80-3.09, 1 Pt 2.99
Pt8 0.4543 0.2500 0.6114  1 Pt 2.75, 5 Tb 2.87-2.90
Pt9 0.5457 0.7500 0.3886  1 Pt 2.75, 5 Tb 2.87-2.90
Pt10 0.6821 0.5413 0.0334  6 Tb 2.80-3.09, 1 Pt 2.99
Pt11 0.6821 0.9587 0.0334  6 Tb 2.80-3.09, 1 Pt 2.99
Pt12 0.6877 0.2500 0.1425  1 Pt 2.75, 6 Tb 2.78-2.98
Pt13 0.8123 0.7500 0.6425  1 Pt 2.75, 6 Tb 2.78-2.98
Pt14 0.8179 0.0413 0.5334  6 Tb 2.80-3.09, 1 Pt 2.99
Pt15 0.8179 0.4587 0.5334  6 Tb 2.80-3.09, 1 Pt 2.99
Pt16 0.9543 0.2500 0.8886  1 Pt 2.75, 5 Tb 2.87-2.90

---

Entry 4:
Here is a crystal of TbPt relaxed with PBEsol from Alexandria. Energies are from SCAN.

Cell: 6.9199 4.4888 5.5133 Å, 90.00 90.00 90.00°
Last column: nearest neighbours and their distance in Å.
Element x y z (fractional)
Tb1 0.1818 0.2500 0.1410  7 Pt 2.85-2.99
Tb2 0.3182 0.7500 0.6410  7 Pt 2.85-2.99
Tb3 0.6818 0.2500 0.3590  7 Pt 2.85-2.99
Tb4 0.8182 0.7500 0.8590  7 Pt 2.85-2.99
Pt1 0.0430 0.2500 0.6545  7 Tb 2.85-2.99, 2 Pt 2.88
Pt2 0.4570 0.7500 0.1545  7 Tb 2.85-2.99, 2 Pt 2.88
Pt3 0.5430 0.2500 0.8455  7 Tb 2.85-2.99, 2 Pt 2.88
Pt4 0.9570 0.7500 0.3455  7 Tb 2.85-2.99, 2 Pt 2.88

---

no.,density of states at the Fermi level (states/eV/f.u.),final energy (eV per cell)
1,1.0,-119.756
2,2.3,-861.686
3,5.7,-2107.797
4,1.0,-479.698